1.
Compound: NaSrPbBr5
Source: the Alexandria database
Functional: PBE-GGA
Structure: optimized geometry

abc: 8.2431 8.2431 10.8670
angles: 105.46 105.46 107.64
Positions (direct):
Na 0.6785 0.3215 0.2500
Na 0.3215 0.6785 0.7500
Sr 0.0000 0.0000 0.5000
Sr 0.0000 0.0000 0.0000
Pb 0.3644 0.6356 0.2500
Pb 0.6356 0.3644 0.7500
Br 0.1199 0.8801 0.2500
Br 0.8801 0.1199 0.7500
Br 0.9861 0.3446 0.1807
Br 0.0139 0.6554 0.8193
Br 0.6554 0.0139 0.3193
Br 0.3446 0.9861 0.6807
Br 0.6906 0.6303 0.4481
Br 0.3094 0.3697 0.5519
Br 0.3697 0.3094 0.0519
Br 0.6303 0.6906 0.9481

Output
energy relative to the elements, uncorrected: -1.45 eV per atom
VASP energy: -3.330 eV per atom

***

2.
Compound: Na2SrPbBr6
Source: the Alexandria database
Functional: PBE-GGA
Structure: optimized geometry

abc: 7.6515 7.6515 8.1649
angles: 62.05 62.04 59.99
Positions (direct):
Na 0.5143 0.5142 0.4572
Na 0.0150 0.0151 0.9550
Sr 0.3168 0.3167 0.0497
Pb 0.8177 0.8178 0.5467
Br 0.6178 0.2242 0.2517
Br 0.2241 0.9062 0.2516
Br 0.9064 0.6179 0.2517
Br 0.4068 0.7252 0.7504
Br 0.7253 0.1174 0.7505
Br 0.1174 0.4069 0.7506

Output
energy relative to the elements, uncorrected: -1.53 eV per atom
VASP energy: -3.334 eV per atom

***

Mass density per entry: 3794 3913 kg/m3